This record from the Alexandria database describes SrTi6O12 after structural relaxation. The functional is PBE-GGA.

* crystal system: trigonal
* energy relative to the lowest polymorph listed for this composition: 0.0 meV per atom
* E_form (uncorrected): -2.911 eV per atom
* N(E_F): 0.10 states/eV per atom
* symmetry: R-3
* volume: 209 Å³ per cell

a = 6.210 Å, b = 6.210 Å, c = 6.210 Å
α = 105.16°, β = 105.16°, γ = 105.16°
Positions (direct):
1 O 0.180 0.493 0.419
2 O 0.820 0.507 0.581
3 O 0.929 0.645 0.130
4 O 0.493 0.419 0.180
5 O 0.130 0.929 0.645
6 O 0.071 0.355 0.870
7 O 0.645 0.130 0.929
8 O 0.581 0.820 0.507
9 O 0.870 0.071 0.355
10 O 0.355 0.870 0.071
11 O 0.419 0.180 0.493
12 O 0.507 0.581 0.820
13 Ti 0.819 0.718 0.404
14 Ti 0.181 0.282 0.596
15 Ti 0.718 0.404 0.819
16 Ti 0.282 0.596 0.181
17 Ti 0.596 0.181 0.282
18 Ti 0.404 0.819 0.718
19 Sr 0.000 0.000 0.000